# 1
Density functional theory data (PBE-GGA) for DyInTe3 after structural relaxation.

a b c (Å): 7.668 7.895 11.214
angles (deg): 90.00 99.06 90.00
Fractional positions:
1 Te 0.665 0.809 0.065
2 Te 0.851 0.066 0.818
3 Te 0.835 0.309 0.435
4 Te 0.165 0.691 0.565
5 Te 0.341 0.167 0.613
6 Te 0.841 0.333 0.113
7 Te 0.159 0.667 0.887
8 Te 0.335 0.191 0.935
9 Te 0.659 0.833 0.387
10 Te 0.649 0.566 0.682
11 Te 0.351 0.434 0.318
12 Te 0.149 0.934 0.182
13 Dy 0.448 0.870 0.790
14 Dy 0.552 0.130 0.210
15 Dy 0.948 0.630 0.290
16 Dy 0.052 0.370 0.710
17 In 0.638 0.361 0.884
18 In 0.862 0.861 0.616
19 In 0.362 0.639 0.116
20 In 0.138 0.139 0.384

Values from the calculation:
As for the crystal system: monoclinic. For the formation energy from raw total energies, the calculation gives -727.0 meV/atom. For the polymorph energy (0 for the lowest one), the calculation gives 112 meV/atom.

***

# 2
Density functional theory data (PBE-GGA) for Er3Zn2Pd after structural relaxation.

a b c (Å): 3.536 3.536 10.397
angles (deg): 90.00 90.00 90.00
Fractional positions:
1 Er 0.000 0.000 0.338
2 Er 0.000 0.000 0.000
3 Er 0.000 0.000 0.662
4 Zn 0.500 0.500 0.165
5 Zn 0.500 0.500 0.835
6 Pd 0.500 0.500 0.500

Values from the calculation:
As for the crystal system: tetragonal. For the polymorph energy (0 for the lowest one), the calculation gives 0 meV/atom. For the formation enthalpy at 0 K, the calculation gives -0.5560 eV/atom.